Entry 1:
LaGaBrN2: optimized geometry, PBE-GGA.

Cell: 4.313 9.832 4.313 Å, 90.00 90.00 90.00°
Each line ends with the local moment (μB).
Element x y z (fractional)
N 0.000 0.000 0.500  0.16
N 0.500 0.000 0.000  0.07
La 0.000 0.000 0.000  0.04
Ga 0.000 0.500 0.000  0.00
Br 0.500 0.500 0.500  0.00

Summary:
formation energy from raw total energies = 524 meV/atom
space-group type = P4/mmm (123)
crystal system = tetragonal
spin magnetization = 0.36 μB per formula unit


Entry 2:
NaLaGa2Br: optimized geometry, PBE-GGA.

Cell: 5.199 5.123 5.199 Å, 90.00 90.00 90.00°
Element x y z (fractional)
La 0.500 0.500 0.500
Ga 0.500 0.000 0.000
Ga 0.000 0.000 0.500
Br 0.000 0.500 0.000
Na 0.000 0.000 0.000

Summary:
formation energy from raw total energies = -47 meV/atom
space-group type = P4/mmm (123)
crystal system = tetragonal
spin magnetization = 0.00 μB per formula unit


Entry 3:
La8Ga3NiBr4: optimized geometry, PBE-GGA.

Cell: 8.625 9.015 8.833 Å, 120.34 119.22 90.00°
Element x y z (fractional)
La 0.242 0.732 0.485
La 0.745 0.738 0.490
La 0.243 0.287 0.015
La 0.229 0.713 0.985
La 0.255 0.262 0.510
La 0.757 0.713 0.985
La 0.771 0.287 0.015
La 0.758 0.268 0.515
Ga 0.500 0.500 0.000
Ga 0.000 0.500 0.500
Ga 0.500 0.500 0.500
Br 0.000 0.000 0.000
Br 0.500 0.000 0.000
Br 0.500 0.000 0.500
Br 0.000 0.000 0.500
Ni 0.000 0.500 0.000

Summary:
formation energy from raw total energies = -910 meV/atom
space-group type = C2/m (12)
crystal system = monoclinic
spin magnetization = 0.00 μB per formula unit


Entry 4:
La6GaOs2Br3: optimized geometry, PBE-GGA.

Cell: 4.223 9.359 10.197 Å, 108.36 101.95 90.00°
Element x y z (fractional)
La 0.339 0.873 0.678
La 0.681 0.561 0.363
La 0.978 0.750 0.955
La 0.022 0.250 0.045
La 0.661 0.127 0.322
La 0.319 0.439 0.637
Os 0.165 0.337 0.331
Os 0.835 0.663 0.669
Ga 0.500 0.000 0.000
Br 0.165 0.838 0.330
Br 0.500 0.500 0.000
Br 0.835 0.162 0.670

Summary:
formation energy from raw total energies = -894 meV/atom
space-group type = C2/m (12)
crystal system = monoclinic
spin magnetization = 0.00 μB per formula unit


Entry 5:
La8Ga3OsBr4: optimized geometry, PBE-GGA.

Cell: 8.740 9.066 8.757 Å, 118.97 119.94 90.00°
Element x y z (fractional)
La 0.254 0.263 0.509
La 0.242 0.288 0.015
La 0.227 0.713 0.454
La 0.773 0.287 0.546
La 0.758 0.712 0.985
La 0.773 0.288 0.015
La 0.227 0.712 0.985
La 0.746 0.737 0.491
Os 0.000 0.500 0.000
Ga 0.500 0.500 0.500
Ga 0.500 0.500 0.000
Ga 0.000 0.500 0.500
Br 0.500 0.000 0.000
Br 0.000 0.000 0.000
Br 0.000 0.000 0.500
Br 0.500 0.000 0.500

Summary:
formation energy from raw total energies = -922 meV/atom
space-group type = C2/m (12)
crystal system = monoclinic
spin magnetization = 0.00 μB per formula unit


Entry 6:
La6Ga2OsBr3: optimized geometry, PBE-GGA.

Cell: 4.279 9.283 10.110 Å, 106.29 102.22 90.00°
Element x y z (fractional)
Ga 0.835 0.665 0.669
Ga 0.165 0.335 0.331
Br 0.827 0.165 0.654
Br 0.500 0.500 0.000
Br 0.173 0.835 0.346
Os 0.500 0.000 0.000
La 0.996 0.785 0.991
La 0.646 0.090 0.293
La 0.675 0.574 0.350
La 0.354 0.910 0.707
La 0.004 0.215 0.009
La 0.325 0.426 0.650

Summary:
formation energy from raw total energies = -922 meV/atom
space-group type = C2/m (12)
crystal system = monoclinic
spin magnetization = 0.00 μB per formula unit